# AcCoRuO6, relaxed, DFT PBE with a Hubbard U
data_AcCoRuO6
_chemical_formula_sum 'Ac1 Co1 Ru1 O6'
_cell_length_a 5.1221
_cell_length_b 5.1221
_cell_length_c 5.3144
_cell_angle_alpha 90.00
_cell_angle_beta 90.00
_cell_angle_gamma 120.00
_space_group_name_H-M_alt 'P 3 1 2'
_space_group_IT_number 149
loop_
_space_group_symop_operation_xyz
'x,y,z'
'-y,x-y,z'
'-x+y,-x,z'
'-y,-x,-z'
'-x+y,y,-z'
'x,x-y,-z'
loop_
_atom_site_label
_atom_site_type_symbol
_atom_site_fract_x
_atom_site_fract_y
_atom_site_fract_z
Ac1 Ac 0.0000 0.0000 0.0000
Co1 Co 0.3333 0.6667 0.5000
Ru1 Ru 0.6667 0.3333 0.5000
O1 O 0.0059 0.3853 0.7021
# E: -62.7 eV for the cell shown